No. 1
## MnAl2Os (PBE)

Data for a relaxed structure of MnAl2Os.

Symmetry: Cmmm (65)
Crystal system: orthorhombic

abc: 2.7338 2.7338 8.2309
angles: 90.00 90.00 115.57
Last column: nearest neighbours and their distance in Å.
Fractional coordinates of all 4 atoms:
Al  0.0000  0.0000  0.0045  2 Mn 2.49, 2 Os 2.55, 4 Al 2.73
Os  0.5000  0.5000  0.7500  4 Al 2.55, 4 Os 2.73
Mn  0.5000  0.5000  0.2500  4 Al 2.49, 4 Mn 2.73
Al  0.0000  0.0000  0.4955  2 Mn 2.49, 2 Os 2.55, 4 Al 2.73

---

No. 2
## Mn2AlOs (PBE)

Data for a relaxed structure of Mn2AlOs.

Symmetry: R-3m (166)
Crystal system: trigonal

abc: 8.5802 8.5802 8.5802
angles: 17.86 17.86 17.86
Last column: nearest neighbours and their distance in Å.
Fractional coordinates of all 4 atoms:
Os  0.2500  0.2500  0.2500  6 Mn 2.61, 6 Os 2.66
Mn  0.4998  0.4998  0.4998  3 Al 2.61, 3 Os 2.61, 6 Mn 2.66
Al  0.7500  0.7500  0.7500  6 Mn 2.61, 6 Al 2.66
Mn  0.0001  0.0001  0.0001  3 Al 2.61, 3 Os 2.61, 6 Mn 2.66

---

No. 3
## MnAl2Os (PBE)

Data for a relaxed structure of MnAl2Os.

Symmetry: F-43m (216)
Crystal system: cubic

abc: 4.2789 4.2789 4.2789
angles: 60.00 60.00 60.00
Last column: nearest neighbours and their distance in Å.
Fractional coordinates of all 4 atoms:
Os  0.2500  0.2500  0.2500  4 Mn 2.62, 4 Al 2.62
Al  0.0000  0.0000  0.0000  4 Al 2.62, 4 Os 2.62
Mn  0.5000  0.5000  0.5000  4 Os 2.62, 4 Al 2.62
Al  0.7500  0.7500  0.7500  4 Al 2.62, 4 Mn 2.62

---

No. 4
## MnAl2Os (PBE)

Data for a relaxed structure of MnAl2Os.

Symmetry: Cm (8)
Crystal system: monoclinic

abc: 4.8570 4.8570 4.2892
angles: 70.92 70.92 34.77
Last column: nearest neighbours and their distance in Å.
Fractional coordinates of all 4 atoms:
Al  0.2369  0.2369  0.2940  3 Mn 2.58-2.71, 4 Os 2.59-2.61, 2 Al 2.85
Mn  0.4920  0.4920  0.4678  2 Os 2.55, 7 Al 2.58-2.71
Al  0.0104  0.0104  0.9592  4 Mn 2.58-2.61, 3 Os 2.62-2.68, 2 Al 2.85
Os  0.7607  0.7607  0.7790  2 Mn 2.55, 7 Al 2.59-2.68

---

No. 5
## Mn2AlOs (PBE)

Data for a relaxed structure of Mn2AlOs.

Symmetry: R3m (160)
Crystal system: trigonal

abc: 8.4720 8.4720 8.4720
angles: 18.34 18.34 18.34
Last column: nearest neighbours and their distance in Å.
Fractional coordinates of all 4 atoms:
Mn  0.2527  0.2527  0.2527  9 Mn 2.49-2.70, 3 Os 2.60
Al  0.7473  0.7473  0.7473  3 Mn 2.61, 6 Al 2.70, 3 Os 2.72
Mn  0.9970  0.9970  0.9970  9 Mn 2.49-2.70, 3 Al 2.61
Os  0.5029  0.5029  0.5029  3 Mn 2.60, 6 Os 2.70, 3 Al 2.72

---

No. 6
## MnAl2Os (PBE)

Data for a relaxed structure of MnAl2Os.

Symmetry: Imm2 (44)
Crystal system: orthorhombic

abc: 5.0574 5.0574 5.0574
angles: 146.14 131.53 60.44
Last column: nearest neighbours and their distance in Å.
Fractional coordinates of all 4 atoms:
Os  0.2614  0.7614  0.5000  2 Mn 2.52, 6 Al 2.56-2.65
Al  0.0092  0.0092  0.0000  4 Mn 2.55, 2 Os 2.65, 2 Al 2.82
Al  0.7340  0.2340  0.5000  2 Mn 2.55, 4 Os 2.56, 2 Al 2.82
Mn  0.4955  0.4955  0.0000  2 Os 2.52, 6 Al 2.55

---

No. 7
## Mn2AlOs (PBE)

Data for a relaxed structure of Mn2AlOs.

Symmetry: I-42d (122)
Crystal system: tetragonal

abc: 6.8567 6.8567 5.4810
angles: 51.28 51.28 90.00
Last column: nearest neighbours and their distance in Å.
Fractional coordinates of all 8 atoms:
Mn  0.6449  0.1250  0.2500  2 Os 2.42, 2 Mn 2.57, 2 Al 2.60
Os  0.7500  0.2500  0.5000  4 Mn 2.42, 2 Al 2.56
Al  0.2500  0.7500  0.5000  2 Os 2.56, 4 Mn 2.60
Mn  0.3750  0.3551  0.7500  2 Os 2.42, 2 Mn 2.57, 2 Al 2.60
Mn  0.8750  0.8949  0.7500  2 Os 2.42, 2 Mn 2.57, 2 Al 2.60
Al  0.5000  0.5000  0.0000  2 Os 2.56, 4 Mn 2.60
Mn  0.1051  0.6250  0.2500  2 Os 2.42, 2 Mn 2.57, 2 Al 2.60
Os  0.0000  0.0000  0.0000  4 Mn 2.42, 2 Al 2.56

---

No. 8
## MnAl2Os (PBE)

Data for a relaxed structure of MnAl2Os.

Symmetry: R3m (160)
Crystal system: trigonal

abc: 8.5853 8.5853 8.5853
angles: 18.56 18.56 18.56
Last column: nearest neighbours and their distance in Å.
Fractional coordinates of all 4 atoms:
Mn  0.4984  0.4984  0.4984  3 Os 2.53, 3 Al 2.57, 6 Mn 2.77
Al  0.0029  0.0029  0.0029  3 Os 2.68, 9 Al 2.77-2.82
Os  0.7544  0.7544  0.7544  3 Mn 2.53, 3 Al 2.68, 6 Os 2.77
Al  0.2443  0.2443  0.2443  3 Mn 2.57, 9 Al 2.77-2.82

---

No. 9
## MnAl2Os (PBE)

Data for a relaxed structure of MnAl2Os.

Symmetry: I-4m2 (119)
Crystal system: tetragonal

abc: 4.7355 4.7355 4.7355
angles: 133.23 133.23 68.29
Last column: nearest neighbours and their distance in Å.
Fractional coordinates of all 4 atoms:
Al  0.0000  0.0000  0.0000  4 Mn 2.66, 4 Os 2.72, 4 Al 2.72
Mn  0.5000  0.5000  0.0000  8 Al 2.66-2.72, 4 Os 2.72
Os  0.7500  0.2500  0.5000  8 Al 2.66-2.72, 4 Mn 2.72
Al  0.2500  0.7500  0.5000  4 Os 2.66, 4 Al 2.72, 4 Mn 2.72

---

No. 10
## MnAl2Os (PBE)

Data for a relaxed structure of MnAl2Os.

Symmetry: Immm (71)
Crystal system: orthorhombic

abc: 4.8745 4.8745 4.8745
angles: 142.65 126.53 67.04
Last column: nearest neighbours and their distance in Å.
Fractional coordinates of all 4 atoms:
Os  0.2500  0.7500  0.5000  4 Al 2.58, 4 Mn 2.69
Mn  0.7500  0.2500  0.5000  4 Al 2.55, 4 Os 2.69
Al  0.5025  0.5025  0.0000  2 Mn 2.55, 2 Os 2.58, 4 Al 2.69
Al  0.9975  0.9975  0.0000  2 Mn 2.55, 2 Os 2.58, 4 Al 2.69

---

No. 11
## MnAl2Os (PBE)

Data for a relaxed structure of MnAl2Os.

Symmetry: R-3m (166)
Crystal system: trigonal

abc: 8.4976 8.4976 8.4976
angles: 18.86 18.86 18.86
Last column: nearest neighbours and their distance in Å.
Fractional coordinates of all 4 atoms:
Al  0.5012  0.5012  0.5012  3 Mn 2.61, 3 Os 2.66, 6 Al 2.78
Mn  0.2500  0.2500  0.2500  6 Al 2.61, 6 Mn 2.78
Al  0.9988  0.9988  0.9988  3 Mn 2.61, 3 Os 2.66, 6 Al 2.78
Os  0.7500  0.7500  0.7500  6 Al 2.66, 6 Os 2.78

---

No. 12
## MnAl2Os (PBE)

Data for a relaxed structure of MnAl2Os.

Symmetry: I-42d (122)
Crystal system: tetragonal

abc: 6.7715 6.7715 5.4971
angles: 51.98 51.98 90.00
Last column: nearest neighbours and their distance in Å.
Fractional coordinates of all 8 atoms:
Os  0.7500  0.2500  0.5000  4 Al 2.48, 2 Mn 2.70
Al  0.8750  0.8763  0.7500  2 Os 2.48, 2 Mn 2.49, 2 Al 2.70
Os  0.0000  0.0000  0.0000  4 Al 2.48, 2 Mn 2.70
Mn  0.2500  0.7500  0.5000  4 Al 2.49, 2 Os 2.70
Al  0.6263  0.1250  0.2500  2 Os 2.48, 2 Mn 2.49, 2 Al 2.70
Mn  0.5000  0.5000  0.0000  4 Al 2.49, 2 Os 2.70
Al  0.1237  0.6250  0.2500  2 Os 2.48, 2 Mn 2.49, 2 Al 2.70
Al  0.3750  0.3737  0.7500  2 Os 2.48, 2 Mn 2.49, 2 Al 2.70

---

Fermi-level density of states values, unit states/eV per cell, following the record order: 2.8 3.2 1.0 2.4 3.9 2.2 10.3 2.3 2.8 2.1 3.0 8.5.
Ρ values, unit g/cm³, following the record order: 8.95 10.47 8.97 9.16 10.33 9.29 9.04 8.87 8.97 8.93 8.87 8.02.
Calculated formation energy values, unit kJ per mole of atoms, following the record order: -7.8 3.3 -18.7 -26.0 1.5 -25.4 49.7 -10.0 -22.7 -20.1 -11.2 32.2.